VASP calculation (PBE) on a geometry-optimized CoSi structure.

a b c (Å): 6.3432 6.3432 4.2996
angles (deg): 90.00 90.00 120.00
Atoms (fractional coordinates):
Co  0.0979  0.4457  0.2500
Co  0.3478  0.9021  0.2500
Co  0.4457  0.3478  0.7500
Co  0.5543  0.6522  0.2500
Co  0.6522  0.0979  0.7500
Co  0.9021  0.5543  0.7500
Si  0.0722  0.3063  0.7500
Si  0.2340  0.9278  0.7500
Si  0.3063  0.2340  0.2500
Si  0.6937  0.7660  0.7500
Si  0.7660  0.0722  0.2500
Si  0.9278  0.6937  0.2500

Summary:
- crystal system = hexagonal
- formation energy without anion corrections (meV per atom) = -212.8
- V (Å³/atom) = 12.49